K3Mg2GeCl9 | PBE-GGA | relaxed

a b c (Å): 7.2222 7.2222 8.8650
angles (deg): 90.00 90.00 120.00
Sites, in units of the cell vectors:
K  0.0000  0.0000  0.0000
K  0.3333  0.6667  0.6669
K  0.6667  0.3333  0.3331
Mg  0.3333  0.6667  0.1591
Mg  0.6667  0.3333  0.8409
Ge  0.0000  0.0000  0.5000
Cl  0.0000  0.5000  0.0000
Cl  0.1711  0.3422  0.3258
Cl  0.1711  0.8289  0.3258
Cl  0.3422  0.1711  0.6742
Cl  0.5000  0.0000  0.0000
Cl  0.5000  0.5000  0.0000
Cl  0.6578  0.8289  0.3258
Cl  0.8289  0.1711  0.6742
Cl  0.8289  0.6578  0.6742

Properties
Formation energy (no corrections)   -25.020 eV per formula unit
SG   P-3m1 (164)
V   400 Å³/cell


Y2TcAu | PBE-GGA | relaxed

a b c (Å): 5.5670 5.5670 4.9571
angles (deg): 104.45 104.45 36.91
Sites, in units of the cell vectors:
Y  0.0000  0.0000  0.0000
Y  0.2174  0.2174  0.6291
Tc  0.4755  0.4755  0.4928
Au  0.7509  0.7509  0.1614

Properties
Calculated formation energy   -0.176 eV per atom
SG   Cm (8)
V   89 Å³/cell